# Li2PbAu meta-GGA SCAN single point on PBEsol structure
# * DOS(E_F): 1.2 states/eV/f.u.
# * E_tot: -151.59 eV per cell
# * DFT formation energy: -0.4691 eV per atom
# * volume: 17.2 A^3/atom
data_Li2PbAu
_chemical_formula_sum 'Li2 Pb1 Au1'
_space_group_name_H-M_alt 'P 1'
_space_group_IT_number 1
_cell_length_a 3.3990
_cell_length_b 4.5044
_cell_length_c 4.5044
_cell_angle_alpha 90.10
_cell_angle_beta 90.00
_cell_angle_gamma 90.00
loop_
_space_group_symop_operation_xyz
'x,y,z'
loop_
_atom_site_label
_atom_site_type_symbol
_atom_site_fract_x
_atom_site_fract_y
_atom_site_fract_z
Pb1 Pb 0.5000 0.0000 0.0000
Au1 Au 0.5000 0.5000 0.5000
Li1 Li 0.0000 0.5000 0.0000
Li2 Li 0.0000 0.0000 0.5000

# Li2PbAu meta-GGA SCAN single point on PBEsol structure
# * DOS(E_F): 1.1 states/eV/f.u.
# * E_tot: -151.82 eV per cell
# * DFT formation energy: -0.5245 eV per atom
# * volume: 18.1 A^3/atom
data_Li2PbAu
_chemical_formula_sum 'Li2 Pb1 Au1'
_space_group_name_H-M_alt 'P 1'
_space_group_IT_number 1
_cell_length_a 4.6986
_cell_length_b 4.6644
_cell_length_c 4.6986
_cell_angle_alpha 59.76
_cell_angle_beta 90.00
_cell_angle_gamma 120.24
loop_
_space_group_symop_operation_xyz
'x,y,z'
loop_
_atom_site_label
_atom_site_type_symbol
_atom_site_fract_x
_atom_site_fract_y
_atom_site_fract_z
Pb1 Pb 0.5000 0.0000 0.5000
Au1 Au 0.2500 0.5000 0.2500
Li1 Li 0.0000 0.0000 0.0000
Li2 Li 0.7500 0.5000 0.7500